(1)
# PBE TaAgMo2, optimized geometry
data_TaAgMo2
_cell_length_a 6.4647
_cell_length_b 6.4647
_cell_length_c 6.4647
_cell_angle_alpha 90.00
_cell_angle_beta 90.00
_cell_angle_gamma 90.00
_space_group_name_H-M_alt 'F m -3 m'
_space_group_IT_number 225
_space_group_name_Hall '-F 4 2 3'
loop_
_atom_site_label
_atom_site_type_symbol
_atom_site_fract_x
_atom_site_fract_y
_atom_site_fract_z
_atom_site_occupancy
Ta1 Ta 0.0000 0.0000 0.0000 1
Ag1 Ag 0.0000 0.0000 0.5000 1
Mo1 Mo 0.2500 0.2500 0.2500 1
# Offset from the most stable computed form = 0.326 eV/atom
# Formation enthalpy at 0 K = 2.0 eV per formula unit

***

(2)
# PBE K2CoTc, optimized geometry
data_K2CoTc
_cell_length_a 3.9411
_cell_length_b 3.9411
_cell_length_c 11.2022
_cell_angle_alpha 90.00
_cell_angle_beta 90.00
_cell_angle_gamma 90.00
_space_group_name_H-M_alt 'I 4/m m m'
_space_group_IT_number 139
_space_group_name_Hall '-I 4 2'
loop_
_atom_site_label
_atom_site_type_symbol
_atom_site_fract_x
_atom_site_fract_y
_atom_site_fract_z
_atom_site_occupancy
K1 K 0.0000 0.5000 0.2500 1
Co1 Co 0.0000 0.0000 0.0000 1
Tc1 Tc 0.0000 0.0000 0.5000 1
# Offset from the most stable computed form = 0.710 eV/atom
# Formation enthalpy at 0 K = 5.9 eV per formula unit

***

(3)
# PBE MnNb6W2, optimized geometry
data_MnNb6W2
_cell_length_a 4.4055
_cell_length_b 6.2367
_cell_length_c 12.9641
_cell_angle_alpha 90.00
_cell_angle_beta 90.00
_cell_angle_gamma 90.00
_space_group_name_H-M_alt 'I m m m'
_space_group_IT_number 71
_space_group_name_Hall '-I 2 2'
loop_
_atom_site_label
_atom_site_type_symbol
_atom_site_fract_x
_atom_site_fract_y
_atom_site_fract_z
_atom_site_occupancy
Mn1 Mn 0.0000 0.0000 0.0000 1
Nb1 Nb 0.0000 0.2427 0.1611 1
Nb2 Nb 0.0000 0.2606 0.5000 1
W1 W 0.0000 0.0000 0.3344 1
# Formation enthalpy at 0 K = 5.4 eV per formula unit

***

(4)
# PBE AcP2, optimized geometry
data_AcP2
_cell_length_a 5.9794
_cell_length_b 6.0527
_cell_length_c 4.4014
_cell_angle_alpha 90.00
_cell_angle_beta 112.32
_cell_angle_gamma 90.00
_space_group_name_H-M_alt 'C 1 2/m 1'
_space_group_IT_number 12
_space_group_name_Hall '-C 2y'
loop_
_atom_site_label
_atom_site_type_symbol
_atom_site_fract_x
_atom_site_fract_y
_atom_site_fract_z
_atom_site_occupancy
Ac1 Ac 0.0000 0.0000 0.0000 1
P1 P 0.0716 0.5000 0.2845 1
# Offset from the most stable computed form = 0.000 eV/atom
# Formation enthalpy at 0 K = -2.6 eV per formula unit

***

(5)
# PBE SiNiPt2, optimized geometry
data_SiNiPt2
_cell_length_a 2.7984
_cell_length_b 2.7984
_cell_length_c 24.4800
_cell_angle_alpha 90.00
_cell_angle_beta 90.00
_cell_angle_gamma 120.00
_space_group_name_H-M_alt 'R 3 m'
_space_group_IT_number 160
_space_group_name_Hall 'R 3 -2"'
loop_
_atom_site_label
_atom_site_type_symbol
_atom_site_fract_x
_atom_site_fract_y
_atom_site_fract_z
_atom_site_occupancy
Si1 Si 0.0000 0.0000 0.0000 1
Ni1 Ni 0.0000 0.0000 0.2664 1
Pt1 Pt 0.0000 0.0000 0.5116 1
Pt2 Pt 0.0000 0.0000 0.7449 1
# Formation energy from raw total energies = -0.34 eV per atom

***

(6)
# PBE AcTlGeSb, optimized geometry
data_AcTlGeSb
_cell_length_a 7.7722
_cell_length_b 7.7722
_cell_length_c 7.7722
_cell_angle_alpha 90.00
_cell_angle_beta 90.00
_cell_angle_gamma 90.00
_space_group_name_H-M_alt 'F -4 3 m'
_space_group_IT_number 216
_space_group_name_Hall 'F -4 2 3'
loop_
_atom_site_label
_atom_site_type_symbol
_atom_site_fract_x
_atom_site_fract_y
_atom_site_fract_z
_atom_site_occupancy
Ac1 Ac 0.0000 0.0000 0.0000 1
Tl1 Tl 0.2500 0.2500 0.7500 1
Ge1 Ge 0.2500 0.2500 0.2500 1
Sb1 Sb 0.0000 0.0000 0.5000 1
# Formation energy from raw total energies = -0.17 eV per atom

***

(7)
# PBE Tm3SiP2Ir9, optimized geometry
data_Tm3SiP2Ir9
_cell_length_a 6.1502
_cell_length_b 6.1502
_cell_length_c 8.5366
_cell_angle_alpha 90.00
_cell_angle_beta 90.00
_cell_angle_gamma 120.00
_space_group_name_H-M_alt 'P -3 m 1'
_space_group_IT_number 164
_space_group_name_Hall '-P 3 2"'
loop_
_atom_site_label
_atom_site_type_symbol
_atom_site_fract_x
_atom_site_fract_y
_atom_site_fract_z
_atom_site_occupancy
Tm1 Tm 0.0000 0.0000 0.0000 1
Tm2 Tm 0.3333 0.6667 0.7004 1
Si1 Si 0.0000 0.0000 0.5000 1
P1 P 0.3333 0.6667 0.1769 1
Ir1 Ir 0.0000 0.5000 0.0000 1
Ir2 Ir 0.1444 0.2888 0.2802 1
# Formation energy from raw total energies = -0.41 eV per atom

***

(8)
# PBE Ac4TeSe3, optimized geometry
data_Ac4TeSe3
_cell_length_a 6.4245
_cell_length_b 6.4245
_cell_length_c 6.4245
_cell_angle_alpha 90.00
_cell_angle_beta 90.00
_cell_angle_gamma 90.00
_space_group_name_H-M_alt 'P m -3 m'
_space_group_IT_number 221
_space_group_name_Hall '-P 4 2 3'
loop_
_atom_site_label
_atom_site_type_symbol
_atom_site_fract_x
_atom_site_fract_y
_atom_site_fract_z
_atom_site_occupancy
Ac1 Ac 0.0000 0.0000 0.0000 1
Ac2 Ac 0.0000 0.5000 0.5000 1
Te1 Te 0.5000 0.5000 0.5000 1
Se1 Se 0.0000 0.0000 0.5000 1
# Formation energy from raw total energies = -1.73 eV per atom
# Offset from the most stable computed form = 0.020 eV/atom

***

(9)
# PBE CrCu3S, optimized geometry
data_CrCu3S
_cell_length_a 4.3612
_cell_length_b 4.3612
_cell_length_c 4.3612
_cell_angle_alpha 90.00
_cell_angle_beta 90.00
_cell_angle_gamma 90.00
_space_group_name_H-M_alt 'P m -3 m'
_space_group_IT_number 221
_space_group_name_Hall '-P 4 2 3'
loop_
_atom_site_label
_atom_site_type_symbol
_atom_site_fract_x
_atom_site_fract_y
_atom_site_fract_z
_atom_site_occupancy
Cr1 Cr 0.0000 0.0000 0.0000 1
Cu1 Cu 0.0000 0.5000 0.5000 1
S1 S 0.5000 0.5000 0.5000 1
# Formation energy from raw total energies = 0.61 eV per atom
# Offset from the most stable computed form = 0.000 eV/atom

***

(10)
# PBE NdZn2Cu, optimized geometry
data_NdZn2Cu
_cell_length_a 4.2493
_cell_length_b 4.2493
_cell_length_c 15.2452
_cell_angle_alpha 90.00
_cell_angle_beta 90.00
_cell_angle_gamma 120.00
_space_group_name_H-M_alt 'R -3 m'
_space_group_IT_number 166
_space_group_name_Hall '-R 3 2"'
loop_
_atom_site_label
_atom_site_type_symbol
_atom_site_fract_x
_atom_site_fract_y
_atom_site_fract_z
_atom_site_occupancy
Nd1 Nd 0.0000 0.0000 0.0000 1
Zn1 Zn 0.0000 0.0000 0.2066 1
Cu1 Cu 0.0000 0.0000 0.5000 1
# Formation enthalpy at 0 K = -0.9 eV per formula unit

***

(11)
# PBE SrOs, optimized geometry
data_SrOs
_cell_length_a 6.3787
_cell_length_b 7.2022
_cell_length_c 9.4569
_cell_angle_alpha 90.00
_cell_angle_beta 90.00
_cell_angle_gamma 90.00
_space_group_name_H-M_alt 'P n m a'
_space_group_IT_number 62
_space_group_name_Hall '-P 2ac 2n'
loop_
_atom_site_label
_atom_site_type_symbol
_atom_site_fract_x
_atom_site_fract_y
_atom_site_fract_z
_atom_site_occupancy
Sr1 Sr 0.0125 0.2500 0.2177 1
Sr2 Sr 0.1631 0.2500 0.8497 1
Os1 Os 0.1528 0.0860 0.5306 1
# Formation enthalpy at 0 K = 1.1 eV per formula unit

***

(12)
# PBE Pr4IrRuBr2, optimized geometry
data_Pr4IrRuBr2
_cell_length_a 7.1914
_cell_length_b 4.1496
_cell_length_c 8.2487
_cell_angle_alpha 90.00
_cell_angle_beta 106.87
_cell_angle_gamma 90.00
_space_group_name_H-M_alt 'P 1 2/m 1'
_space_group_IT_number 10
_space_group_name_Hall '-P 2y'
loop_
_atom_site_label
_atom_site_type_symbol
_atom_site_fract_x
_atom_site_fract_y
_atom_site_fract_z
_atom_site_occupancy
Pr1 Pr 0.2292 0.0000 0.1974 1
Pr2 Pr 0.2636 0.5000 0.8040 1
Ir1 Ir 0.5000 0.0000 0.0000 1
Ru1 Ru 0.0000 0.5000 0.0000 1
Br1 Br 0.0000 0.0000 0.5000 1
Br2 Br 0.5000 0.5000 0.5000 1
# Formation energy from raw total energies = -0.92 eV per atom